Entry from Alexandria via LeMat-Bulk: SrHo2SiN4 after structural relaxation (PBE-GGA). Values from VASP.

DFT total energy (eV per atom): -7.564
Uncorrected formation energy (eV/f.u.): -10.95

Structure (Quantum ESPRESSO input):
```
&SYSTEM
  ibrav = 0, nat = 16, ntyp = 4
/
ATOMIC_SPECIES
Sr 87.62 Sr.upf
Ho 164.93 Ho.upf
Si 28.09 Si.upf
N 14.01 N.upf
ATOMIC_POSITIONS crystal
Sr 0.092 0.908 0.750
Sr 0.908 0.092 0.250
Ho 0.369 0.631 0.540
Ho 0.369 0.631 0.960
Ho 0.631 0.369 0.040
Ho 0.631 0.369 0.460
Si 0.183 0.817 0.250
Si 0.817 0.183 0.750
N 0.000 0.000 0.000
N 0.000 0.000 0.500
N 0.260 0.740 0.125
N 0.260 0.740 0.375
N 0.400 0.600 0.750
N 0.600 0.400 0.250
N 0.740 0.260 0.625
N 0.740 0.260 0.875
CELL_PARAMETERS angstrom
1.674 -5.930 0.000
1.674 5.930 0.000
0.000 0.000 11.590
```